Material: Tb6Ce2Sm3Tm
Method: DFT, PBE-GGA
State: optimized geometry

Calculated values
- space group = C2/m
- total energy (eV for the cell shown) = -57.73
- crystal system = monoclinic
- total magnetization (μB/cell) = 1.937

extended XYZ file:
```
12
Lattice="-0.209 -5.832 2.008 0.094 1.175 -6.058 11.651 1.174 1.457" Properties=species:S:1:pos:R:3 pbc="T T T"
Tb 2.790 -2.049 0.698
Tb 2.788 -3.191 -2.668
Tb 8.746 -1.434 -3.291
Tb 8.644 -3.782 -0.588
Tb 2.892 0.299 -2.005
Tb 8.748 -0.292 0.075
Ce -0.007 -1.163 -3.367
Ce -0.108 -3.494 -0.683
Sm 5.768 -1.742 -1.296
Sm 5.869 0.598 -3.990
Sm 5.667 -4.081 1.397
Tm 0.000 0.000 0.000
```